Entry 1:
This record from Alexandria via LeMat-Bulk describes crystalline YTmSi3 at its relaxed geometry. The functional is PBE.

Cell lengths 12.3993, 12.3993, 3.9226 Å; angles 90.00, 90.00, 160.96 degrees
Closest atoms and distances in Å follow each position.
Positions (direct):
Y1 0.0703 0.9297 0.7500  12 Si 3.04-3.36
Y2 0.9297 0.0703 0.2500  12 Si 3.04-3.36
Tm1 0.2033 0.7967 0.2500  7 Si 2.88-2.90
Tm2 0.7967 0.2033 0.7500  7 Si 2.88-2.90
Si1 0.3209 0.6791 0.2500  2 Si 2.43
Si2 0.3798 0.6202 0.7500  3 Si 2.32-2.43
Si3 0.4747 0.5253 0.7500  3 Si 2.32
Si4 0.5253 0.4747 0.2500  3 Si 2.32
Si5 0.6202 0.3798 0.2500  3 Si 2.32-2.43
Si6 0.6791 0.3209 0.7500  2 Si 2.43

Summary:
Calculated total energy (eV per atom): -6.109
ΔE_f (raw) (eV/atom): -0.6679
Crystal system: orthorhombic
D(E_F) (states/eV/cell): 3.461
Symmetry: No. 63



Entry 2:
This record from Alexandria via LeMat-Bulk describes crystalline YTm4Si4 at its relaxed geometry. The functional is PBE.

Cell lengths 8.9682, 8.9682, 5.6614 Å; angles 90.00, 90.00, 90.00 degrees
Closest atoms and distances in Å follow each position.
Positions (direct):
Y1 0.2500 0.2500 0.2500  4 Si 2.91
Y2 0.7500 0.7500 0.7500  4 Si 2.91
Tm1 0.0890 0.6499 0.1280  5 Si 2.86-2.93
Tm2 0.1499 0.9110 0.6280  5 Si 2.86-2.93
Tm3 0.3501 0.5890 0.6280  5 Si 2.86-2.93
Tm4 0.4110 0.8501 0.1280  5 Si 2.86-2.93
Tm5 0.5890 0.1499 0.8720  5 Si 2.86-2.93
Tm6 0.6499 0.4110 0.3720  5 Si 2.86-2.93
Tm7 0.8501 0.0890 0.3720  5 Si 2.86-2.93
Tm8 0.9110 0.3501 0.8720  5 Si 2.86-2.93
Si1 0.0312 0.6061 0.6300  1 Si 2.47
Si2 0.1061 0.9688 0.1300  1 Si 2.47
Si3 0.3939 0.5312 0.1300  1 Si 2.47
Si4 0.4688 0.8939 0.6300  1 Si 2.47
Si5 0.5312 0.1061 0.3700  1 Si 2.47
Si6 0.6061 0.4688 0.8700  1 Si 2.47
Si7 0.8939 0.0312 0.8700  1 Si 2.47
Si8 0.9688 0.3939 0.3700  1 Si 2.47

Summary:
Calculated total energy (eV per atom): -5.598
ΔE_f (raw) (eV/atom): -0.4827
Crystal system: tetragonal
D(E_F) (states/eV/cell): 13.754
Symmetry: No. 86



Entry 3:
This record from Alexandria via LeMat-Bulk describes crystalline YTmSi2 at its relaxed geometry. The functional is PBE.

Cell lengths 3.8181, 5.6496, 5.6496 Å; angles 44.14, 90.00, 90.00 degrees
Closest atoms and distances in Å follow each position.
Positions (direct):
Y1 0.0000 0.0000 0.0000  7 Si 2.93-3.12
Tm1 0.5000 0.2806 0.2806  7 Si 2.93-3.11
Si1 0.0000 0.7180 0.7180  2 Si 2.50
Si2 0.5000 0.5642 0.5642  2 Si 2.50

Summary:
Calculated total energy (eV per atom): -6.275
ΔE_f (raw) (eV/atom): -0.8300
Crystal system: orthorhombic
D(E_F) (states/eV/cell): 2.588
Symmetry: No. 38



Entry 4:
This record from Alexandria via LeMat-Bulk describes crystalline YTmSi4 at its relaxed geometry. The functional is PBE.

Cell lengths 8.7923, 13.6151, 4.1926 Å; angles 90.00, 90.00, 90.00 degrees
Closest atoms and distances in Å follow each position.
Positions (direct):
Y1 0.0472 0.1324 0.0000  8 Si 2.95-3.15
Y2 0.4528 0.6324 0.0000  8 Si 2.95-3.15
Y3 0.5472 0.3676 0.0000  8 Si 2.95-3.15
Y4 0.9528 0.8676 0.0000  8 Si 2.95-3.15
Tm1 0.1458 0.4156 0.0000  10 Si 2.90-3.01
Tm2 0.3542 0.9156 0.0000  10 Si 2.90-3.01
Tm3 0.6458 0.0844 0.0000  10 Si 2.90-3.01
Tm4 0.8542 0.5844 0.0000  10 Si 2.90-3.01
Si1 0.0400 0.2851 0.5000  3 Si 2.40-2.45
Si2 0.0981 0.5627 0.5000  3 Si 2.40-2.50
Si3 0.1402 0.9907 0.5000  3 Si 2.40-2.50
Si4 0.1854 0.8165 0.5000  3 Si 2.40-2.45
Si5 0.3146 0.3165 0.5000  3 Si 2.40-2.45
Si6 0.3598 0.4907 0.5000  3 Si 2.40-2.50
Si7 0.4019 0.0627 0.5000  3 Si 2.40-2.50
Si8 0.4600 0.7851 0.5000  3 Si 2.40-2.45
Si9 0.5400 0.2149 0.5000  3 Si 2.40-2.45
Si10 0.5981 0.9373 0.5000  3 Si 2.40-2.50
Si11 0.6402 0.5093 0.5000  3 Si 2.40-2.50
Si12 0.6854 0.6835 0.5000  3 Si 2.40-2.45
Si13 0.8146 0.1835 0.5000  3 Si 2.40-2.45
Si14 0.8598 0.0093 0.5000  3 Si 2.40-2.50
Si15 0.9019 0.4373 0.5000  3 Si 2.40-2.50
Si16 0.9600 0.7149 0.5000  3 Si 2.40-2.45

Summary:
Calculated total energy (eV per atom): -5.842
ΔE_f (raw) (eV/atom): -0.4038
Crystal system: orthorhombic
D(E_F) (states/eV/cell): 9.904
Symmetry: No. 55



Entry 5:
This record from Alexandria via LeMat-Bulk describes crystalline YTmZnSi at its relaxed geometry. The functional is PBE.

Cell lengths 4.9454, 4.9454, 4.9454 Å; angles 60.00, 60.00, 60.00 degrees
Closest atoms and distances in Å follow each position.
Positions (direct):
Y1 0.0000 0.0000 0.0000  4 Zn 3.03, 4 Si 3.03
Tm1 0.5000 0.5000 0.5000  4 Zn 3.03, 4 Si 3.03
Zn1 0.7500 0.7500 0.7500  4 Y 3.03, 4 Tm 3.03
Si1 0.2500 0.2500 0.2500  4 Tm 3.03, 4 Y 3.03

Summary:
Calculated total energy (eV per atom): -4.868
ΔE_f (raw) (eV/atom): -0.4601
Crystal system: cubic
Distance to the lowest polymorph of the same formula (kJ/mol of formula units): 48
D(E_F) (states/eV/cell): 1.594
Symmetry: No. 216



Entry 6:
This record from Alexandria via LeMat-Bulk describes crystalline YTmZnSi at its relaxed geometry. The functional is PBE.

Cell lengths 4.0406, 5.7528, 5.7528 Å; angles 42.30, 90.00, 90.00 degrees
Closest atoms and distances in Å follow each position.
Positions (direct):
Y1 0.0000 0.0000 0.0000  4 Zn 3.00, 3 Si 3.03-3.13
Tm1 0.5000 0.2836 0.2836  4 Si 2.98, 3 Zn 3.07-3.10
Zn1 0.5000 0.5724 0.5724  2 Si 2.55
Si1 0.0000 0.7179 0.7179  2 Zn 2.55

Summary:
Calculated total energy (eV per atom): -4.994
ΔE_f (raw) (eV/atom): -0.5855
Crystal system: orthorhombic
Distance to the lowest polymorph of the same formula (kJ/mol of formula units): 0
D(E_F) (states/eV/cell): 3.804
Symmetry: No. 38